P | DyZn4Pd: optimized geometry, GGA-PBE.

Summary:
The calculated density is 8.21 Mg/m³.

CIF file:
```
data_DyZn4Pd
_space_group_name_H-M_alt 'P m m a'
_space_group_IT_number 51
_space_group_name_Hall '-P 2a 2a'
_cell_length_a 7.8864
_cell_length_b 3.9269
_cell_length_c 6.9312
_cell_angle_alpha 90.00
_cell_angle_beta 90.00
_cell_angle_gamma 90.00
loop_
_atom_site_label
_atom_site_type_symbol
_atom_site_fract_x
_atom_site_fract_y
_atom_site_fract_z
_atom_site_occupancy
Dy1 Dy 0.2500 0.0000 0.1172 1
Zn1 Zn 0.0000 0.0000 0.5000 1
Zn2 Zn 0.0431 0.5000 0.8089 1
Zn3 Zn 0.2500 0.5000 0.4467 1
Pd1 Pd 0.2500 0.0000 0.7153 1
```

***

Q | DyZn4Pd: optimized geometry, GGA-PBE.

Summary:
The calculated density is 8.82 Mg/m³.

CIF file:
```
data_DyZn4Pd
_space_group_name_H-M_alt 'F -4 3 m'
_space_group_IT_number 216
_space_group_name_Hall 'F -4 2 3'
_cell_length_a 7.3645
_cell_length_b 7.3645
_cell_length_c 7.3645
_cell_angle_alpha 90.00
_cell_angle_beta 90.00
_cell_angle_gamma 90.00
loop_
_atom_site_label
_atom_site_type_symbol
_atom_site_fract_x
_atom_site_fract_y
_atom_site_fract_z
_atom_site_occupancy
Dy1 Dy 0.0000 0.0000 0.0000 1
Zn1 Zn 0.1241 0.1241 0.6241 1
Pd1 Pd 0.2500 0.2500 0.2500 1
```

***

The most stable arrangement is P, and the next structure is 0.011 eV/atom less stable.

***

P | Dy3ZnPd: optimized geometry, GGA-PBE.

Summary:
The calculated density is 9.07 Mg/m³.

CIF file:
```
data_Dy3ZnPd
_space_group_name_H-M_alt 'C m c m'
_space_group_IT_number 63
_space_group_name_Hall '-C 2c 2'
_cell_length_a 4.9824
_cell_length_b 19.4794
_cell_length_c 4.9773
_cell_angle_alpha 90.00
_cell_angle_beta 90.00
_cell_angle_gamma 90.00
loop_
_atom_site_label
_atom_site_type_symbol
_atom_site_fract_x
_atom_site_fract_y
_atom_site_fract_z
_atom_site_occupancy
Dy1 Dy 0.0000 0.0663 0.2500 1
Dy2 Dy 0.0000 0.2495 0.2500 1
Dy3 Dy 0.0000 0.4315 0.2500 1
Zn1 Zn 0.0000 0.1566 0.7500 1
Pd1 Pd 0.0000 0.3364 0.7500 1
```

***

Q | Dy3ZnPd: optimized geometry, GGA-PBE.

Summary:
The calculated density is 8.51 Mg/m³.

CIF file:
```
data_Dy3ZnPd
_space_group_name_H-M_alt 'C 1 2/c 1'
_space_group_IT_number 15
_space_group_name_Hall '-C 2yc'
_cell_length_a 11.7911
_cell_length_b 10.9985
_cell_length_c 7.9347
_cell_angle_alpha 90.00
_cell_angle_beta 90.02
_cell_angle_gamma 90.00
loop_
_atom_site_label
_atom_site_type_symbol
_atom_site_fract_x
_atom_site_fract_y
_atom_site_fract_z
_atom_site_occupancy
Dy1 Dy 0.0979 0.0991 0.4167 1
Dy2 Dy 0.0996 0.4022 0.5838 1
Dy3 Dy 0.2499 0.1756 0.7986 1
Zn1 Zn 0.0000 0.1676 0.7500 1
Zn2 Zn 0.0000 0.3341 0.2500 1
Pd1 Pd 0.2482 0.0580 0.1278 1
```

***

The most stable arrangement is P, and the next structure is 0.120 eV/atom less stable.

***

P | Dy4ZnPd: optimized geometry, GGA-PBE.

Summary:
The calculated density is 8.90 Mg/m³.

CIF file:
```
data_Dy4ZnPd
_space_group_name_H-M_alt 'F -4 3 m'
_space_group_IT_number 216
_space_group_name_Hall 'F -4 2 3'
_cell_length_a 13.4892
_cell_length_b 13.4892
_cell_length_c 13.4892
_cell_angle_alpha 90.00
_cell_angle_beta 90.00
_cell_angle_gamma 90.00
loop_
_atom_site_label
_atom_site_type_symbol
_atom_site_fract_x
_atom_site_fract_y
_atom_site_fract_z
_atom_site_occupancy
Dy1 Dy 0.0000 0.0000 0.1843 1
Dy2 Dy 0.0597 0.2500 0.7500 1
Dy3 Dy 0.1108 0.1108 0.3892 1
Zn1 Zn 0.1684 0.1684 0.1684 1
Pd1 Pd 0.1028 0.1028 0.6028 1
```

***

Q | Dy4ZnPd: optimized geometry, GGA-PBE.

Summary:
The calculated density is 8.14 Mg/m³.

CIF file:
```
data_Dy4ZnPd
_space_group_name_H-M_alt 'C 1 2/m 1'
_space_group_IT_number 12
_space_group_name_Hall '-C 2y'
_cell_length_a 6.9298
_cell_length_b 6.9297
_cell_length_c 6.9816
_cell_angle_alpha 90.00
_cell_angle_beta 90.06
_cell_angle_gamma 90.00
loop_
_atom_site_label
_atom_site_type_symbol
_atom_site_fract_x
_atom_site_fract_y
_atom_site_fract_z
_atom_site_occupancy
Dy1 Dy 0.2497 0.2500 0.2472 1
Zn1 Zn 0.0000 0.0000 0.5000 1
Pd1 Pd 0.0000 0.5000 0.0000 1
```

***

The most stable arrangement is P, and the next structure is 0.198 eV/atom less stable.

***

P | Dy8ZnPd2: optimized geometry, GGA-PBE.

Summary:
The calculated density is 8.59 Mg/m³.

CIF file:
```
data_Dy8ZnPd2
_space_group_name_H-M_alt 'C 1 m 1'
_space_group_IT_number 8
_space_group_name_Hall 'C -2y'
_cell_length_a 8.4679
_cell_length_b 13.4265
_cell_length_c 5.6132
_cell_angle_alpha 90.00
_cell_angle_beta 107.08
_cell_angle_gamma 90.00
loop_
_atom_site_label
_atom_site_type_symbol
_atom_site_fract_x
_atom_site_fract_y
_atom_site_fract_z
_atom_site_occupancy
Dy1 Dy 0.0000 0.0000 0.0000 1
Dy2 Dy 0.0847 0.3755 0.7769 1
Dy3 Dy 0.1649 0.1250 0.5848 1
Dy4 Dy 0.2579 0.5000 0.3767 1
Dy5 Dy 0.3719 0.2284 0.1877 1
Zn1 Zn 0.3745 0.0000 0.2830 1
Pd1 Pd 0.3767 0.3026 0.6906 1
```

***

Q | Dy8ZnPd2: optimized geometry, GGA-PBE.

Summary:
The calculated density is 8.94 Mg/m³.

CIF file:
```
data_Dy8ZnPd2
_space_group_name_H-M_alt 'C 1 2/m 1'
_space_group_IT_number 12
_space_group_name_Hall '-C 2y'
_cell_length_a 17.6611
_cell_length_b 5.0970
_cell_length_c 6.7905
_cell_angle_alpha 90.00
_cell_angle_beta 106.53
_cell_angle_gamma 90.00
loop_
_atom_site_label
_atom_site_type_symbol
_atom_site_fract_x
_atom_site_fract_y
_atom_site_fract_z
_atom_site_occupancy
Dy1 Dy 0.0322 0.0000 0.2804 1
Dy2 Dy 0.0927 0.5000 0.9639 1
Dy3 Dy 0.1711 0.5000 0.4827 1
Dy4 Dy 0.1998 0.0000 0.8251 1
Zn1 Zn 0.0000 0.5000 0.5000 1
Pd1 Pd 0.1825 0.0000 0.2239 1
```

***

The most stable arrangement is Q, and the next structure is 0.124 eV/atom less stable.

***

P | DyZnPd6: optimized geometry, GGA-PBE.

Summary:
The calculated density is 11.05 Mg/m³.

CIF file:
```
data_DyZnPd6
_space_group_name_H-M_alt 'P 4/m m m'
_space_group_IT_number 123
_space_group_name_Hall '-P 4 2'
_cell_length_a 4.0507
_cell_length_b 4.0507
_cell_length_c 7.9385
_cell_angle_alpha 90.00
_cell_angle_beta 90.00
_cell_angle_gamma 90.00
loop_
_atom_site_label
_atom_site_type_symbol
_atom_site_fract_x
_atom_site_fract_y
_atom_site_fract_z
_atom_site_occupancy
Dy1 Dy 0.0000 0.0000 0.0000 1
Zn1 Zn 0.0000 0.0000 0.5000 1
Pd1 Pd 0.0000 0.5000 0.2648 1
Pd2 Pd 0.5000 0.5000 0.0000 1
Pd3 Pd 0.5000 0.5000 0.5000 1
```

***

Q | DyZnPd6: optimized geometry, GGA-PBE.

Summary:
The calculated density is 9.40 Mg/m³.

CIF file:
```
data_DyZnPd6
_space_group_name_H-M_alt 'R -3 m'
_space_group_IT_number 166
_space_group_name_Hall '-R 3 2"'
_cell_length_a 7.4917
_cell_length_b 7.4917
_cell_length_c 9.4492
_cell_angle_alpha 90.00
_cell_angle_beta 90.00
_cell_angle_gamma 120.00
loop_
_atom_site_label
_atom_site_type_symbol
_atom_site_fract_x
_atom_site_fract_y
_atom_site_fract_z
_atom_site_occupancy
Dy1 Dy 0.0000 0.0000 0.0000 1
Zn1 Zn 0.0000 0.0000 0.5000 1
Pd1 Pd 0.0873 0.5436 0.3716 1
```

***

The most stable arrangement is P, and the next structure is 0.455 eV/atom less stable.

***

P | DyZnPd5: optimized geometry, GGA-PBE.

Summary:
The calculated density is 9.87 Mg/m³.

CIF file:
```
data_DyZnPd5
_space_group_name_H-M_alt 'C 1 2/c 1'
_space_group_IT_number 15
_space_group_name_Hall '-C 2yc'
_cell_length_a 13.7614
_cell_length_b 5.6544
_cell_length_c 8.1435
_cell_angle_alpha 90.00
_cell_angle_beta 126.15
_cell_angle_gamma 90.00
loop_
_atom_site_label
_atom_site_type_symbol
_atom_site_fract_x
_atom_site_fract_y
_atom_site_fract_z
_atom_site_occupancy
Dy1 Dy 0.0000 0.0059 0.2500 1
Zn1 Zn 0.2500 0.2500 0.5000 1
Pd1 Pd 0.0000 0.4913 0.2500 1
Pd2 Pd 0.1285 0.2579 0.6413 1
Pd3 Pd 0.1291 0.2576 0.1159 1
```

***

Q | DyZnPd5: optimized geometry, GGA-PBE.

Summary:
The calculated density is 10.38 Mg/m³.

CIF file:
```
data_DyZnPd5
_space_group_name_H-M_alt 'P 4/m m m'
_space_group_IT_number 123
_space_group_name_Hall '-P 4 2'
_cell_length_a 4.1482
_cell_length_b 4.1482
_cell_length_c 7.0630
_cell_angle_alpha 90.00
_cell_angle_beta 90.00
_cell_angle_gamma 90.00
loop_
_atom_site_label
_atom_site_type_symbol
_atom_site_fract_x
_atom_site_fract_y
_atom_site_fract_z
_atom_site_occupancy
Dy1 Dy 0.0000 0.0000 0.0000 1
Zn1 Zn 0.5000 0.5000 0.5000 1
Pd1 Pd 0.0000 0.5000 0.2863 1
Pd2 Pd 0.5000 0.5000 0.0000 1
```

***

The most stable arrangement is Q, and the next structure is 0.172 eV/atom less stable.